Computed, not measured: a geometry-optimized Nd5Y2Ge4 structure at the PBE level of DFT.

The structure in extended XYZ format:
```
11
Lattice="-2.331 -2.298 -2.023 4.834 1.007 -6.713 6.385 -7.455 4.772" Properties=species:S:1:pos:R:3 pbc="T T T"
Nd 6.383 -1.789 -5.321
Nd 2.505 -6.956 1.357
Nd 3.119 -1.284 -2.135
Nd -1.165 -1.149 -1.012
Nd 5.769 -7.462 -1.830
Y 4.486 -4.497 -3.718
Y 4.403 -4.248 -0.246
Ge 3.389 -2.219 -5.043
Ge 3.842 0.256 -4.717
Ge 5.499 -6.526 1.078
Ge 5.046 -9.002 0.753
```

Values from the calculation:
ΔE_f: -289 meV per atom
Calculated density: 5.76 g/cm3
Uncorrected energy: -58.413 eV per cell

Computed, not measured: a geometry-optimized Tb10NdSc4 structure at the PBE level of DFT.

The structure in extended XYZ format:
```
15
Lattice="7.365 0.000 3.326 3.683 7.859 1.663 0.449 0.000 8.825" Properties=species:S:1:pos:R:3 pbc="T T T"
Tb 3.907 3.929 6.075
Tb 6.732 2.710 10.647
Tb 7.713 0.925 6.456
Tb 6.709 6.934 8.679
Tb 9.204 5.149 5.171
Tb 4.764 5.149 3.166
Tb 7.589 3.929 7.738
Tb 2.292 2.710 8.642
Tb 4.787 0.925 5.135
Tb 3.784 6.934 7.358
Nd 0.000 0.000 0.000
Sc 6.458 6.705 5.334
Sc 8.289 5.655 11.099
Sc 3.208 2.204 2.715
Sc 5.038 1.154 8.479
```

Values from the calculation:
ΔE_f: 582 meV per atom
Calculated density: 6.37 g/cm3
Uncorrected energy: -67.668 eV per cell

Computed, not measured: a geometry-optimized ScMnN2 structure at the PBE level of DFT.

The structure in extended XYZ format:
```
8
Lattice="-2.454 -1.237 -3.581 3.213 -2.940 -1.187 -1.700 -5.398 0.185" Properties=species:S:1:pos:R:3 pbc="T T T"
Sc 0.379 -2.088 -2.384
Sc 0.946 -5.213 -1.693
Mn 0.000 0.000 0.000
Mn -1.887 -4.362 -2.890
N -1.686 -2.555 -2.527
N 1.405 -3.277 -0.956
N -1.158 -5.461 -1.587
N -0.443 -7.857 -4.095
```

Values from the calculation:
Calculated density: 4.46 g/cm3
Formation energy without anion corrections: -0.835 eV/atom
Uncorrected energy: -70.980 eV per cell

Computed, not measured: a geometry-optimized Sc8Sn3H2 structure at the PBE level of DFT.

The structure in extended XYZ format:
```
13
Lattice="-0.663 -5.832 -1.868 3.925 -2.384 -4.105 5.915 -5.229 4.072" Properties=species:S:1:pos:R:3 pbc="T T T"
Sc 7.876 -10.596 -0.179
Sc 1.302 -2.850 -1.721
Sc 4.538 -4.705 -2.171
Sc 2.252 -6.423 -1.056
Sc 4.208 -7.611 -3.102
Sc 6.926 -7.022 -0.844
Sc 4.640 -8.740 0.271
Sc 4.970 -5.834 1.202
Sn 0.000 0.000 0.000
Sn 6.186 -9.724 -2.301
Sn 2.992 -3.721 0.401
H 3.129 -5.969 -2.784
H 6.049 -7.476 0.884
```

Values from the calculation:
Calculated density: 4.46 g/cm3
Uncorrected energy: -75.372 eV per cell

Computed, not measured: a geometry-optimized Na2LaZrTe4 structure at the PBE level of DFT.

The structure in extended XYZ format:
```
8
Lattice="-2.404 2.095 -2.942 3.917 -3.386 -5.612 -6.298 -4.694 1.803" Properties=species:S:1:pos:R:3 pbc="T T T"
Na -4.351 -1.299 -0.570
Na -1.190 -4.040 -1.905
La 0.000 0.000 0.000
Zr 0.757 -0.645 -4.277
Te -1.660 -0.984 -2.544
Te -3.125 -5.001 -4.208
Te -3.780 -4.563 -0.161
Te 1.399 -3.517 -3.648
```

Values from the calculation:
Calculated density: 5.14 g/cm3
Formation energy without anion corrections: -1.114 eV/atom
Uncorrected energy: -37.591 eV per cell

Computed, not measured: a geometry-optimized Cd2Si7Rh12 structure at the PBE level of DFT.

The structure in extended XYZ format:
```
21
Lattice="-0.882 -2.768 -2.376 4.191 4.934 -7.303 5.274 -6.251 5.325" Properties=species:S:1:pos:R:3 pbc="T T T"
Cd -0.441 -1.384 -1.188
Cd 4.552 1.206 -3.094
Si 4.913 -2.523 1.115
Si 4.142 -4.549 3.762
Si 8.101 -2.471 -0.128
Si 2.497 -0.548 -0.289
Si 5.316 -1.876 -2.751
Si 5.418 1.020 -6.162
Si 1.600 0.321 -3.932
Rh 6.294 -0.686 -4.501
Rh 3.158 1.317 -5.670
Rh 2.882 -1.166 -2.675
Rh 4.579 -5.219 1.416
Rh 6.089 -3.495 -1.152
Rh 2.749 -3.006 -0.482
Rh 3.028 -2.992 2.362
Rh 6.909 -3.576 1.601
Rh 4.803 -1.001 -0.617
Rh 7.347 -0.835 -1.753
Rh 5.130 3.486 -5.964
Rh 1.180 0.967 -1.564
```

Values from the calculation:
Calculated density: 8.88 g/cm3
Formation energy without anion corrections: -0.686 eV/atom
Uncorrected energy: -142.410 eV per cell

uncorrected energy of number 5 (Na2LaZrTe4)? -37.591 eV per cell

Which of these has the highest uncorrected energy? Na2LaZrTe4

What is the formula in the second record? Tb10NdSc4